First-principles (PBE) data for ScTlTe2 after structural relaxation, as listed in the Alexandria database.

Calculated values
V	27.897	Å³/atom
E_form (uncorrected)	-0.4114	eV per atom

Cell and atoms, written as extended XYZ:
```
4
Lattice="5.384 0.000 0.000 0.000 5.384 0.000 0.000 0.000 3.850" Properties=species:S:1:pos:R:3 pbc="T T T"
Sc 0.000 0.000 0.000
Tl 2.692 2.692 0.000
Te 0.000 2.692 1.925
Te 2.692 0.000 1.925
```

First-principles (PBE) data for TlGa2BiH after structural relaxation, as listed in the Alexandria database.

Calculated values
V	22.037	Å³/atom
DFT total energy	-2.88	eV/atom

Cell and atoms, written as extended XYZ:
```
5
Lattice="4.990 0.000 0.000 0.000 4.990 0.000 0.000 0.000 4.425" Properties=species:S:1:pos:R:3 pbc="T T T"
Tl 0.000 0.000 0.000
Ga 0.000 2.495 2.212
Ga 2.495 0.000 2.212
Bi 2.495 2.495 0.000
H 2.495 2.495 2.212
```

First-principles (PBE) data for KSrDyF6 after structural relaxation, as listed in the Alexandria database.

Calculated values
V	19.772	Å³/atom
E_form (uncorrected)	-3.7322	eV per atom

Cell and atoms, written as extended XYZ:
```
18
Lattice="6.388 0.000 0.000 -3.194 5.532 0.000 0.000 0.000 10.071" Properties=species:S:1:pos:R:3 pbc="T T T"
K 0.000 0.000 0.000
K 0.000 0.000 5.036
Sr 0.000 3.688 2.518
Sr 3.194 1.844 7.553
Dy 0.000 3.688 7.553
Dy 3.194 1.844 2.518
F -1.033 2.105 6.429
F -1.887 3.585 8.678
F 1.033 2.105 8.678
F -0.854 5.374 6.429
F 2.339 0.158 1.393
F 1.306 1.947 3.643
F 1.887 3.585 6.429
F 0.854 5.374 8.678
F 4.048 0.158 3.643
F 2.161 3.427 1.393
F 5.081 1.947 1.393
F 4.227 3.427 3.643
```

First-principles (PBE) data for Mn2C after structural relaxation, as listed in the Alexandria database.

Calculated values
V	9.004	Å³/atom
DFT total energy	-9.13	eV/atom

Cell and atoms, written as extended XYZ:
```
9
Lattice="2.280 -1.321 0.000 2.280 1.321 0.000 -1.484 0.000 13.450" Properties=species:S:1:pos:R:3 pbc="T T T"
Mn 0.015 0.000 3.183
Mn 0.012 0.000 5.728
Mn 1.534 0.000 1.203
Mn 1.542 0.000 12.246
Mn 3.063 0.000 7.722
Mn 3.061 0.000 10.267
C 0.000 0.000 0.000
C 1.538 0.000 4.428
C 1.538 0.000 9.022
```

First-principles (PBE) data for BaMgS2Cl after structural relaxation, as listed in the Alexandria database.

Calculated values
V	24.776	Å³/atom
polymorph energy (0 for the lowest one)	0.0000	eV/atom
E_form (uncorrected)	-1.4964	eV per atom

Cell and atoms, written as extended XYZ:
```
5
Lattice="4.895 0.000 0.000 0.000 4.895 0.000 0.000 0.000 5.169" Properties=species:S:1:pos:R:3 pbc="T T T"
Ba 0.000 0.000 0.000
Mg 2.448 2.448 2.585
S 0.000 2.448 2.585
S 2.448 0.000 2.585
Cl 2.448 2.448 0.000
```